# GGA-PBE TbSc2I, optimized geometry
# volume: 27.762 Å³/atom
# total energy: -59.2 eV for the cell shown
# DOS at the Fermi energy: 15.770 states/eV per cell
data_TbSc2I
_chemical_formula_sum 'Tb3 Sc6 I3'
_cell_length_a 3.6009
_cell_length_b 3.6009
_cell_length_c 29.6683
_cell_angle_alpha 90.00
_cell_angle_beta 90.00
_cell_angle_gamma 120.00
_space_group_name_H-M_alt 'R -3 m'
_space_group_IT_number 166
_space_group_name_Hall '-R 3 2"'
loop_
_atom_site_label
_atom_site_type_symbol
_atom_site_fract_x
_atom_site_fract_y
_atom_site_fract_z
_atom_site_occupancy
Tb1 Tb 0.0000 0.0000 0.0000 1
Sc1 Sc 0.0000 0.0000 0.2447 1
I1 I 0.0000 0.0000 0.5000 1



# GGA-PBE LiZn8, optimized geometry
# volume: 14.901 Å³/atom
# total energy: -25.1 eV for the cell shown
# DOS at the Fermi energy: 3.958 states/eV per cell
data_LiZn8
_chemical_formula_sum 'Li2 Zn16'
_cell_length_a 8.296
_cell_length_b 8.296
_cell_length_c 3.897
_cell_angle_alpha 90.00
_cell_angle_beta 90.00
_cell_angle_gamma 90.00
_space_group_name_H-M_alt 'I 4/m m m'
_space_group_IT_number 139
_space_group_name_Hall '-I 4 2'
loop_
_atom_site_label
_atom_site_type_symbol
_atom_site_fract_x
_atom_site_fract_y
_atom_site_fract_z
_atom_site_occupancy
Li1 Li 0.000 0.000 0.000 1
Zn1 Zn 0.000 0.332 0.000 1
Zn2 Zn 0.166 0.166 0.500 1